(1)
Density functional theory data (PBE-GGA) for a relaxed Cs3Ho2NpSe6 crystal.

Unit cell a=7.4282 b=7.4282 c=8.7276 alpha=98.16 beta=98.16 gamma=120.00
Last column: nearest neighbours and their distance in Å.
Fractional positions:
Cs1 0.0000 0.0000 0.0000  6 Se 3.59-3.63
Cs2 0.3334 0.6666 0.0000  6 Se 3.59-3.63
Cs3 0.6666 0.3334 0.0000  6 Se 3.59-3.63
Ho1 0.1667 0.8333 0.5000  6 Se 2.91
Ho2 0.8333 0.1667 0.5000  6 Se 2.91
Np1 0.5000 0.5000 0.5000  6 Se 2.95
Se1 0.1000 0.4383 0.3149  2 Ho 2.91, 1 Np 2.95
Se2 0.2234 0.2234 0.6851  2 Ho 2.91, 1 Np 2.95
Se3 0.4383 0.1000 0.3149  2 Ho 2.91, 1 Np 2.95
Se4 0.5617 0.9000 0.6851  2 Ho 2.91, 1 Np 2.95
Se5 0.7766 0.7766 0.3149  2 Ho 2.91, 1 Np 2.95
Se6 0.9000 0.5617 0.6851  2 Ho 2.91, 1 Np 2.95

- Volume: 400 Å³/cell
- SG: C2/m, No. 12
- Formation energy (no corrections): -1544 meV per atom
- Energy: -64.1 eV per cell
- Size of the total moment: 4.0 Bohr magnetons per cell

---

(2)
Density functional theory data (PBE-GGA) for a relaxed Cs2Ho2NpSe6 crystal.

Unit cell a=7.2360 b=7.2360 c=8.9348 alpha=97.93 beta=97.93 gamma=119.99
Last column: nearest neighbours and their distance in Å.
Fractional positions:
Cs1 0.1685 0.8315 0.0000  6 Se 3.64-3.66
Cs2 0.8315 0.1685 0.0000  6 Se 3.64-3.66
Ho1 0.3332 0.6668 0.5000  6 Se 2.88
Ho2 0.6668 0.3332 0.5000  6 Se 2.88
Np1 0.0000 0.0000 0.5000  6 Se 2.85
Se1 0.0617 0.3916 0.6814  1 Np 2.85, 2 Ho 2.88
Se2 0.2683 0.2683 0.3189  1 Np 2.85, 2 Ho 2.88
Se3 0.3916 0.0617 0.6814  1 Np 2.85, 2 Ho 2.88
Se4 0.6084 0.9383 0.3186  1 Np 2.85, 2 Ho 2.88
Se5 0.7317 0.7317 0.6811  1 Np 2.85, 2 Ho 2.88
Se6 0.9383 0.6084 0.3186  1 Np 2.85, 2 Ho 2.88

- Volume: 389 Å³/cell
- SG: C2/m, No. 12
- Formation energy (no corrections): -1575 meV per atom
- Energy: -62.0 eV per cell
- Size of the total moment: 3.0 Bohr magnetons per cell